First-principles (PBE-GGA) data for a relaxed structure of Na2TlF3, as listed in Alexandria.

Computed properties:
Density: 4474 kg/m3
Energy above the most stable polymorph in this dataset: 22 meV per atom
Calculated volume: 19.01 Å³/atom
Magnetic moment: 0.00 μB per formula unit
Formation energy (no corrections): -2296 meV/atom

a = 3.633 Å, b = 7.160 Å, c = 9.068 Å
α = 90.00°, β = 90.00°, γ = 104.70°
Fractional positions:
Na: 0.000 0.000 0.000
Na: 0.000 0.000 0.500
Na: 0.582 0.164 0.250
Na: 0.418 0.836 0.750
Tl: 0.329 0.657 0.250
Tl: 0.671 0.343 0.750
F: 0.608 0.216 0.014
F: 0.020 0.040 0.750
F: 0.608 0.216 0.486
F: 0.980 0.960 0.250
F: 0.392 0.784 0.986
F: 0.392 0.784 0.514